*i*
Nd2Y2Er3: optimized geometry, PBE.

Geometry as CIF:
```
data_Nd2Y2Er3
_symmetry_space_group_name_H-M 'C 1 2/m 1'
_symmetry_Int_Tables_number 12
_symmetry_space_group_name_Hall '-C 2y'
_cell_length_a 16.7198
_cell_length_b 3.5192
_cell_length_c 8.7325
_cell_angle_alpha 90.00
_cell_angle_beta 116.31
_cell_angle_gamma 90.00
loop_
_atom_site_label
_atom_site_fract_x
_atom_site_fract_y
_atom_site_fract_z
Nd1 0.0803 0.0000 0.2027
Y1 0.1391 0.5000 0.9064
Er1 0.0000 0.0000 0.5000
Er2 0.2203 0.0000 0.6461
```

=====

*ii*
Nd2Y2Er3: optimized geometry, PBE.

Geometry as CIF:
```
data_Nd2Y2Er3
_symmetry_space_group_name_H-M 'I 21 3'
_symmetry_Int_Tables_number 199
_symmetry_space_group_name_Hall 'I 2b 2c 3'
_cell_length_a 9.7550
_cell_length_b 9.7550
_cell_length_c 9.7550
_cell_angle_alpha 90.00
_cell_angle_beta 90.00
_cell_angle_gamma 90.00
loop_
_atom_site_label
_atom_site_fract_x
_atom_site_fract_y
_atom_site_fract_z
Nd1 0.1568 0.3432 0.6568
Y1 0.0435 0.0435 0.0435
Er1 0.0000 0.2500 0.3074
```

=====

It is *i* that is most stable; the runner-up trails by 0.096 eV/atom.

=====

*i*
Nd5Y3Er: optimized geometry, PBE.

Geometry as CIF:
```
data_Nd5Y3Er
_symmetry_space_group_name_H-M 'C 1 2/c 1'
_symmetry_Int_Tables_number 15
_symmetry_space_group_name_Hall '-C 2yc'
_cell_length_a 20.1812
_cell_length_b 6.3119
_cell_length_c 11.7826
_cell_angle_alpha 90.00
_cell_angle_beta 122.57
_cell_angle_gamma 90.00
loop_
_atom_site_label
_atom_site_fract_x
_atom_site_fract_y
_atom_site_fract_z
Nd1 0.0000 0.0910 0.2500
Nd2 0.1388 0.1730 0.6606
Nd3 0.1795 0.3189 0.3326
Y1 0.0000 0.5000 0.0000
Y2 0.1754 0.2760 0.0264
Er1 0.0000 0.3992 0.7500
```

=====

*ii*
Nd5Y3Er: optimized geometry, PBE.

Geometry as CIF:
```
data_Nd5Y3Er
_symmetry_space_group_name_H-M 'C 1 2/m 1'
_symmetry_Int_Tables_number 12
_symmetry_space_group_name_Hall '-C 2y'
_cell_length_a 15.3508
_cell_length_b 11.7474
_cell_length_c 9.9495
_cell_angle_alpha 90.00
_cell_angle_beta 129.58
_cell_angle_gamma 90.00
loop_
_atom_site_label
_atom_site_fract_x
_atom_site_fract_y
_atom_site_fract_z
Nd1 0.0000 0.2473 0.0000
Nd2 0.1496 0.2474 0.7402
Nd3 0.2251 0.5000 0.0472
Nd4 0.2285 0.0000 0.2374
Y1 0.0000 0.0000 0.5000
Y2 0.0000 0.5000 0.0000
Y3 0.0079 0.0000 0.8251
Y4 0.0148 0.5000 0.3524
Er1 0.2484 0.0000 0.5936
```

=====

It is *i* that is most stable; the runner-up trails by 0.219 eV/atom.